LiCoCuGe: relaxed, PBE.

SG	F-43m (216)
total magnetization	0.00	μB per formula unit
calculated total energy	-17.94	eV/cell

Geometry as POSCAR:
```
LiCoCuGe
1.0
-3.425 -2.086 0.560
-3.526 1.512 -1.293
-1.886 -1.683 -3.163
Ge Co Cu Li
1 1 1 1
Cartesian
0.000 0.000 0.000
-6.628 -1.693 -2.922
-4.418 -1.128 -1.948
-2.209 -0.564 -0.974
```